5
Lattice="4.466 0.000 0.000 0.000 4.466 0.000 0.000 0.000 4.466" Properties=species:S:1:pos:R:3 comment="TiCu3Au, PBEsol geometry, DFT SCAN" crystal_system=cubic formation_enthalpy_0k_mev_per_atom=1328.0 pbc="T T T"
Ti 0.000 0.000 0.000
Cu 0.000 0.000 2.233
Cu 0.000 2.233 0.000
Cu 2.233 0.000 0.000
Au 2.233 2.233 2.233